No. 1
AcPmCoCu, relaxed, DFT GGA-PBE; space-group type = F-43m (216); energy of formation from the pure elements = 26 meV/atom; energy above the lowest structure with this stoichiometry = 78 meV per atom; magnetization = 0.0 μB per formula unit; crystal system = cubic; electronic total energy = -4.989 eV per atom
1.0
7.208 0.000 0.000
0.000 7.208 0.000
0.000 0.000 7.208
Ac Pm Co Cu
4 4 4 4
Direct
0.000 0.000 0.000 Ac
0.000 0.500 0.500 Ac
0.500 0.000 0.500 Ac
0.500 0.500 0.000 Ac
0.000 0.000 0.500 Pm
0.000 0.500 0.000 Pm
0.500 0.000 0.000 Pm
0.500 0.500 0.500 Pm
0.250 0.250 0.750 Co
0.250 0.750 0.250 Co
0.750 0.250 0.250 Co
0.750 0.750 0.750 Co
0.250 0.250 0.250 Cu
0.250 0.750 0.750 Cu
0.750 0.250 0.750 Cu
0.750 0.750 0.250 Cu

---

No. 2
AcPmCoCu, relaxed, DFT GGA-PBE; space-group type = Amm2 (38); energy of formation from the pure elements = -52 meV/atom; energy above the lowest structure with this stoichiometry = 0 meV per atom; magnetization = 0.0 μB per formula unit; crystal system = orthorhombic; electronic total energy = -5.068 eV per atom
1.0
4.462 0.000 0.000
0.000 4.012 0.000
0.000 0.000 10.765
Ac Pm Co Cu
2 2 2 2
Direct
0.000 0.000 0.000 Ac
0.000 0.500 0.500 Ac
0.500 0.000 0.279 Pm
0.500 0.500 0.779 Pm
0.000 0.000 0.715 Co
0.000 0.500 0.215 Co
0.500 0.000 0.582 Cu
0.500 0.500 0.082 Cu

---

No. 3
Ac2CoCu3Sn4, relaxed, DFT GGA-PBE; space-group type = P-4m2 (115); energy of formation from the pure elements = -396 meV/atom; magnetization = 0.9 μB per formula unit; crystal system = tetragonal; electronic total energy = -4.759 eV per atom
1.0
4.595 0.000 0.000
0.000 4.595 0.000
0.000 0.000 10.728
Ac Co Cu Sn
2 1 3 4
Direct
0.000 0.500 0.236 Ac
0.500 0.000 0.764 Ac
0.500 0.500 0.000 Co
0.000 0.000 0.000 Cu
0.000 0.500 0.636 Cu
0.500 0.000 0.364 Cu
0.000 0.000 0.500 Sn
0.000 0.500 0.882 Sn
0.500 0.000 0.118 Sn
0.500 0.500 0.500 Sn

---

No. 4
AcTbCoCu, relaxed, DFT GGA-PBE; space-group type = F-43m (216); energy of formation from the pure elements = 4 meV/atom; magnetization = 0.1 μB per formula unit; crystal system = cubic; electronic total energy = -4.981 eV per atom
1.0
7.139 0.000 0.000
0.000 7.139 0.000
0.000 0.000 7.139
Ac Tb Co Cu
4 4 4 4
Direct
0.000 0.000 0.000 Ac
0.000 0.500 0.500 Ac
0.500 0.000 0.500 Ac
0.500 0.500 0.000 Ac
0.000 0.000 0.500 Tb
0.000 0.500 0.000 Tb
0.500 0.000 0.000 Tb
0.500 0.500 0.500 Tb
0.250 0.250 0.750 Co
0.250 0.750 0.250 Co
0.750 0.250 0.250 Co
0.750 0.750 0.750 Co
0.250 0.250 0.250 Cu
0.250 0.750 0.750 Cu
0.750 0.250 0.750 Cu
0.750 0.750 0.250 Cu